1.
# Ac3Si3Pt8

An optimized crystal structure of Ac3Si3Pt8 (GGA-PBE, Alexandria).

## Properties
Total moment, μB per formula unit: 0.000
E, eV per atom: -6.49
Fermi-level density of states, states/eV/cell: 6.649
ρ, g cm⁻³: 13.64
Formation energy from raw total energies, meV per atom: -993

Cell and atoms, written as CIF:
```
data_Ac3Si3Pt8
_cell_length_a 8.6780
_cell_length_b 8.6780
_cell_length_c 9.0040
_cell_angle_alpha 118.97
_cell_angle_beta 118.97
_cell_angle_gamma 28.82
_space_group_name_H-M_alt 'P 1'
_space_group_IT_number 1
_space_group_name_Hall 'P 1'
loop_
_atom_site_label
_atom_site_type_symbol
_atom_site_fract_x
_atom_site_fract_y
_atom_site_fract_z
_atom_site_occupancy
Ac1 Ac 0.0000 0.0000 0.0000 1
Ac2 Ac 0.2920 0.2920 0.3388 1
Ac3 Ac 0.7080 0.7080 0.6612 1
Si1 Si 0.0000 0.0000 0.5000 1
Si2 Si 0.3257 0.3257 0.0007 1
Si3 Si 0.6743 0.6743 0.9993 1
Pt1 Pt 0.0998 0.0998 0.3825 1
Pt2 Pt 0.1456 0.1456 0.8545 1
Pt3 Pt 0.3596 0.3596 0.7700 1
Pt4 Pt 0.4797 0.4797 0.3127 1
Pt5 Pt 0.5203 0.5203 0.6873 1
Pt6 Pt 0.6404 0.6404 0.2300 1
Pt7 Pt 0.8544 0.8544 0.1455 1
Pt8 Pt 0.9002 0.9002 0.6175 1
```


2.
# LiCaV2Co

An optimized crystal structure of LiCaV2Co (GGA-PBE, Alexandria).

## Properties
Total moment, μB per formula unit: 0.001
E, eV per atom: -3.75
Fermi-level density of states, states/eV/cell: 7.708
ρ, g cm⁻³: 4.41

Cell and atoms, written as CIF:
```
data_LiCaV2Co
_cell_length_a 4.4041
_cell_length_b 4.4041
_cell_length_c 4.0381
_cell_angle_alpha 90.00
_cell_angle_beta 90.00
_cell_angle_gamma 90.00
_space_group_name_H-M_alt 'P 1'
_space_group_IT_number 1
_space_group_name_Hall 'P 1'
loop_
_atom_site_label
_atom_site_type_symbol
_atom_site_fract_x
_atom_site_fract_y
_atom_site_fract_z
_atom_site_occupancy
Li1 Li 0.0000 0.0000 0.0000 1
Ca1 Ca 0.0000 0.0000 0.5000 1
V1 V 0.0000 0.5000 0.5000 1
V2 V 0.5000 0.0000 0.5000 1
Co1 Co 0.5000 0.5000 0.0000 1
```


3.
# SmTm2Si2

An optimized crystal structure of SmTm2Si2 (GGA-PBE, Alexandria).

## Properties
Total moment, μB per formula unit: 0.001
E, eV per atom: -5.40
Fermi-level density of states, states/eV/cell: 9.459
ρ, g cm⁻³: 7.13
Formation energy from raw total energies, meV per atom: -498

Cell and atoms, written as CIF:
```
data_SmTm2Si2
_cell_length_a 5.5642
_cell_length_b 4.0858
_cell_length_c 11.2117
_cell_angle_alpha 90.00
_cell_angle_beta 95.92
_cell_angle_gamma 90.00
_space_group_name_H-M_alt 'P 1'
_space_group_IT_number 1
_space_group_name_Hall 'P 1'
loop_
_atom_site_label
_atom_site_type_symbol
_atom_site_fract_x
_atom_site_fract_y
_atom_site_fract_z
_atom_site_occupancy
Sm1 Sm 0.0948 0.2500 0.2799 1
Sm2 Sm 0.9052 0.7500 0.7201 1
Tm1 Tm 0.2490 0.2500 0.9478 1
Tm2 Tm 0.4045 0.2500 0.6276 1
Tm3 Tm 0.5955 0.7500 0.3724 1
Tm4 Tm 0.7510 0.7500 0.0522 1
Si1 Si 0.1257 0.7500 0.4789 1
Si2 Si 0.2669 0.7500 0.1247 1
Si3 Si 0.7331 0.2500 0.8753 1
Si4 Si 0.8743 0.2500 0.5211 1
```